No. 1
## Na2Mg2InGePt2 (GGA-PBE)

Data for a relaxed structure of Na2Mg2InGePt2.

## Properties
E: -28.2 eV/cell
total moment: 0.009 μB/f.u.

CIF file:
```
data_Na2Mg2InGePt2
_chemical_formula_sum 'Na2 Mg2 In1 Ge1 Pt2'
_cell_length_a 4.647
_cell_length_b 4.647
_cell_length_c 6.664
_cell_angle_alpha 90.00
_cell_angle_beta 90.00
_cell_angle_gamma 90.00
_space_group_name_H-M_alt 'P -4 m 2'
_space_group_IT_number 115
_space_group_name_Hall 'P -4 -2'
loop_
_atom_site_label
_atom_site_fract_x
_atom_site_fract_y
_atom_site_fract_z
Na1 0.000 0.500 0.239
Mg1 0.000 0.000 0.000
Mg2 0.500 0.500 0.500
In1 0.000 0.000 0.500
Ge1 0.500 0.500 0.000
Pt1 0.000 0.500 0.763
```

No. 2
## Mg4InGePt2 (GGA-PBE)

Data for a relaxed structure of Mg4InGePt2.

## Properties
E: -30.1 eV/cell
total moment: 0.001 μB/f.u.

CIF file:
```
data_Mg4InGePt2
_chemical_formula_sum 'Mg4 In1 Ge1 Pt2'
_cell_length_a 4.5453
_cell_length_b 4.5453
_cell_length_c 8.5277
_cell_angle_alpha 90.00
_cell_angle_beta 90.00
_cell_angle_gamma 120.00
_space_group_name_H-M_alt 'P -6 m 2'
_space_group_IT_number 187
_space_group_name_Hall 'P -6 2'
loop_
_atom_site_label
_atom_site_fract_x
_atom_site_fract_y
_atom_site_fract_z
Mg1 0.0000 0.0000 0.1712
Mg2 0.3333 0.6667 0.3293
In1 0.6667 0.3333 0.5000
Ge1 0.6667 0.3333 0.0000
Pt1 0.0000 0.0000 0.5000
Pt2 0.3333 0.6667 0.0000
```

No. 3
## InGe5Mo3 (GGA-PBE)

Data for a relaxed structure of InGe5Mo3.

## Properties
E: -56.7 eV/cell
total moment: 0.003 μB/f.u.

CIF file:
```
data_InGe5Mo3
_chemical_formula_sum 'In1 Ge5 Mo3'
_cell_length_a 5.2878
_cell_length_b 5.2878
_cell_length_c 7.7613
_cell_angle_alpha 90.00
_cell_angle_beta 90.00
_cell_angle_gamma 120.00
_space_group_name_H-M_alt 'P 6/m m m'
_space_group_IT_number 191
_space_group_name_Hall '-P 6 2'
loop_
_atom_site_label
_atom_site_fract_x
_atom_site_fract_y
_atom_site_fract_z
In1 0.0000 0.0000 0.0000
Ge1 0.0000 0.0000 0.5000
Ge2 0.3333 0.6667 0.2088
Mo1 0.0000 0.5000 0.5000
```

No. 4
## InGe2Mo (GGA-PBE)

Data for a relaxed structure of InGe2Mo.

## Properties
E: -80.7 eV/cell
total moment: 1.046 μB/f.u.

CIF file:
```
data_InGe2Mo
_chemical_formula_sum 'In4 Ge8 Mo4'
_cell_length_a 6.691
_cell_length_b 6.691
_cell_length_c 6.691
_cell_angle_alpha 90.00
_cell_angle_beta 90.00
_cell_angle_gamma 90.00
_space_group_name_H-M_alt 'F -4 3 m'
_space_group_IT_number 216
_space_group_name_Hall 'F -4 2 3'
loop_
_atom_site_label
_atom_site_fract_x
_atom_site_fract_y
_atom_site_fract_z
In1 0.000 0.000 0.000
Ge1 0.000 0.000 0.500
Ge2 0.250 0.250 0.750
Mo1 0.250 0.250 0.250
```

No. 5
## InGeMo4N2 (GGA-PBE)

Data for a relaxed structure of InGeMo4N2.

## Properties
E: -67.8 eV/cell
total moment: 0.002 μB/f.u.

CIF file:
```
data_InGeMo4N2
_chemical_formula_sum 'In1 Ge1 Mo4 N2'
_cell_length_a 3.2431
_cell_length_b 3.2431
_cell_length_c 12.5738
_cell_angle_alpha 90.00
_cell_angle_beta 90.00
_cell_angle_gamma 120.00
_space_group_name_H-M_alt 'P -6 m 2'
_space_group_IT_number 187
_space_group_name_Hall 'P -6 2'
loop_
_atom_site_label
_atom_site_fract_x
_atom_site_fract_y
_atom_site_fract_z
In1 0.0000 0.0000 0.0000
Ge1 0.6667 0.3333 0.5000
Mo1 0.0000 0.0000 0.3507
Mo2 0.6667 0.3333 0.1883
N1 0.3333 0.6667 0.2549
```

No. 6
## Ta4InGeN2 (GGA-PBE)

Data for a relaxed structure of Ta4InGeN2.

## Properties
E: -75.1 eV/cell
total moment: 0.003 μB/f.u.

CIF file:
```
data_Ta4InGeN2
_chemical_formula_sum 'Ta4 In1 Ge1 N2'
_cell_length_a 3.0406
_cell_length_b 3.0406
_cell_length_c 14.4671
_cell_angle_alpha 90.00
_cell_angle_beta 90.00
_cell_angle_gamma 120.00
_space_group_name_H-M_alt 'P -6 m 2'
_space_group_IT_number 187
_space_group_name_Hall 'P -6 2'
loop_
_atom_site_label
_atom_site_fract_x
_atom_site_fract_y
_atom_site_fract_z
Ta1 0.0000 0.0000 0.1462
Ta2 0.6667 0.3333 0.3309
In1 0.0000 0.0000 0.5000
Ge1 0.6667 0.3333 0.0000
N1 0.3333 0.6667 0.2382
```

No. 7
## Zr4InGeN2 (GGA-PBE)

Data for a relaxed structure of Zr4InGeN2.

## Properties
E: -67.1 eV/cell
total moment: 0.009 μB/f.u.

CIF file:
```
data_Zr4InGeN2
_chemical_formula_sum 'Zr4 In1 Ge1 N2'
_cell_length_a 3.2929
_cell_length_b 3.2929
_cell_length_c 14.2995
_cell_angle_alpha 90.00
_cell_angle_beta 90.00
_cell_angle_gamma 120.00
_space_group_name_H-M_alt 'P -6 m 2'
_space_group_IT_number 187
_space_group_name_Hall 'P -6 2'
loop_
_atom_site_label
_atom_site_fract_x
_atom_site_fract_y
_atom_site_fract_z
Zr1 0.0000 0.0000 0.1503
Zr2 0.6667 0.3333 0.3268
In1 0.0000 0.0000 0.5000
Ge1 0.6667 0.3333 0.0000
N1 0.3333 0.6667 0.2400
```

No. 8
## NaInNiGe (GGA-PBE)

Data for a relaxed structure of NaInNiGe.

## Properties
E: -53.5 eV/cell
total moment: 0.003 μB/f.u.
ΔE to the lowest computed polymorph: 126.5 meV/atom

CIF file:
```
data_NaInNiGe
_chemical_formula_sum 'Na4 In4 Ni4 Ge4'
_cell_length_a 6.677
_cell_length_b 6.677
_cell_length_c 6.677
_cell_angle_alpha 90.00
_cell_angle_beta 90.00
_cell_angle_gamma 90.00
_space_group_name_H-M_alt 'F -4 3 m'
_space_group_IT_number 216
_space_group_name_Hall 'F -4 2 3'
loop_
_atom_site_label
_atom_site_fract_x
_atom_site_fract_y
_atom_site_fract_z
Na1 0.000 0.000 0.000
In1 0.000 0.000 0.500
Ni1 0.250 0.250 0.250
Ge1 0.250 0.250 0.750
```